6
Lattice="-3.789 1.456 -1.705 1.576 -0.774 -4.163 -3.897 -7.387 2.351" Properties=species:S:1:pos:R:3 comment="PmSn2 | Alexandria via LeMat-Bulk | PBE | relaxed" crystal_system=orthorhombic density_g_cm3=7.6 space_group="Cmcm, No. 63" m_tot_mub_per_atom=0.0000 e_above_lowest_polymorph_mev_per_atom=0.0 pbc="T T T"
Pm -3.461 -0.456 -1.226
Pm -2.649 -6.249 -2.293
Sn -0.542 -0.980 -2.475
Sn -5.569 -5.725 -1.043
Sn -3.597 -3.153 -3.227
Sn -2.513 -3.552 -0.291